Arrangement A

Here is AgIr2Pt2 after structural relaxation from Alexandria. Energies are from PBE.

## Properties
**Space-group type**: P4/mbm, No. 127
**Mass density**: 17.63 g/cm³

The structure in extended XYZ format:
```
10
Lattice="7.767 0.000 0.000 0.000 7.767 0.000 0.000 0.000 2.756" Properties=species:S:1:pos:R:3 pbc="T T T"
Ag 0.000 0.000 0.000
Ag 3.883 3.883 0.000
Ir 0.928 2.956 0.000
Ir 2.956 6.839 0.000
Ir 4.811 0.928 0.000
Ir 6.839 4.811 0.000
Pt 1.394 5.278 1.378
Pt 2.489 1.394 1.378
Pt 5.278 6.372 1.378
Pt 6.372 2.489 1.378
```


Arrangement B

Here is AgIr2Pt2 after structural relaxation from Alexandria. Energies are from PBE.

## Properties
**Space-group type**: P4/mbm, No. 127
**Mass density**: 17.63 g/cm³

The structure in extended XYZ format:
```
10
Lattice="7.794 0.000 0.000 0.000 7.794 0.000 0.000 0.000 2.737" Properties=species:S:1:pos:R:3 pbc="T T T"
Ag 0.000 0.000 0.000
Ag 3.897 3.897 0.000
Ir 1.352 2.545 1.368
Ir 2.545 6.441 1.368
Ir 5.249 1.352 1.368
Ir 6.441 5.249 1.368
Pt 0.977 4.874 0.000
Pt 2.920 0.977 0.000
Pt 4.874 6.817 0.000
Pt 6.817 2.920 0.000
```


Bottom line: arrangement A, by a margin of 69 meV per atom.


Arrangement A

Here is RbAgIr3 after structural relaxation from Alexandria. Energies are from PBE.

## Properties
**Space-group type**: Pm-3m, No. 221
**Mass density**: 11.05 g/cm³

The structure in extended XYZ format:
```
5
Lattice="4.872 0.000 0.000 0.000 4.872 0.000 0.000 0.000 4.872" Properties=species:S:1:pos:R:3 pbc="T T T"
Rb 0.000 0.000 0.000
Ag 2.436 2.436 2.436
Ir 0.000 0.000 2.436
Ir 0.000 2.436 0.000
Ir 2.436 0.000 0.000
```


Arrangement B

Here is RbAgIr3 after structural relaxation from Alexandria. Energies are from PBE.

## Properties
**Space-group type**: Pm-3m, No. 221
**Mass density**: 10.24 g/cm³

The structure in extended XYZ format:
```
5
Lattice="4.999 0.000 0.000 0.000 4.999 0.000 0.000 0.000 4.999" Properties=species:S:1:pos:R:3 pbc="T T T"
Rb 0.000 0.000 0.000
Ag 2.499 2.499 2.499
Ir 0.000 2.499 2.499
Ir 2.499 0.000 2.499
Ir 2.499 2.499 0.000
```


Bottom line: arrangement B, by a margin of 1129 meV per atom.


Arrangement A

Here is AgIr2Rh2 after structural relaxation from Alexandria. Energies are from PBE.

## Properties
**Space-group type**: P4/mbm, No. 127
**Mass density**: 14.62 g/cm³

The structure in extended XYZ format:
```
10
Lattice="7.632 0.000 0.000 0.000 7.632 0.000 0.000 0.000 2.723" Properties=species:S:1:pos:R:3 pbc="T T T"
Ag 0.000 0.000 0.000
Ag 3.816 3.816 0.000
Ir 1.335 2.480 1.362
Ir 2.480 6.296 1.362
Ir 5.151 1.335 1.362
Ir 6.296 5.151 1.362
Rh 0.924 4.740 0.000
Rh 2.892 0.924 0.000
Rh 4.740 6.707 0.000
Rh 6.707 2.892 0.000
```


Arrangement B

Here is AgIr2Rh2 after structural relaxation from Alexandria. Energies are from PBE.

## Properties
**Space-group type**: P4/mbm, No. 127
**Mass density**: 14.57 g/cm³

The structure in extended XYZ format:
```
10
Lattice="7.625 0.000 0.000 0.000 7.625 0.000 0.000 0.000 2.737" Properties=species:S:1:pos:R:3 pbc="T T T"
Ag 0.000 0.000 0.000
Ag 3.812 3.812 0.000
Ir 0.916 2.896 0.000
Ir 2.896 6.708 0.000
Ir 4.729 0.916 0.000
Ir 6.708 4.729 0.000
Rh 1.345 5.158 1.369
Rh 2.467 1.345 1.369
Rh 5.158 6.280 1.369
Rh 6.280 2.467 1.369
```


Bottom line: arrangement B, by a margin of 47 meV per atom.


Arrangement A

Here is AgIr2Ru after structural relaxation from Alexandria. Energies are from PBE.

## Properties
**Space-group type**: Fm-3m, No. 225
**Mass density**: 15.89 g/cm³

The structure in extended XYZ format:
```
16
Lattice="6.284 0.000 0.000 0.000 6.284 0.000 0.000 0.000 6.284" Properties=species:S:1:pos:R:3 pbc="T T T"
Ag 0.000 0.000 0.000
Ag 0.000 3.142 3.142
Ag 3.142 0.000 3.142
Ag 3.142 3.142 0.000
Ir 1.571 1.571 1.571
Ir 1.571 1.571 4.713
Ir 1.571 4.713 1.571
Ir 1.571 4.713 4.713
Ir 4.713 1.571 1.571
Ir 4.713 1.571 4.713
Ir 4.713 4.713 1.571
Ir 4.713 4.713 4.713
Ru 0.000 0.000 3.142
Ru 0.000 3.142 0.000
Ru 3.142 0.000 0.000
Ru 3.142 3.142 3.142
```


Arrangement B

Here is AgIr2Ru after structural relaxation from Alexandria. Energies are from PBE.

## Properties
**Space-group type**: Cm, No. 8
**Mass density**: 16.31 g/cm³

The structure in extended XYZ format:
```
8
Lattice="9.164 0.000 0.000 0.000 2.756 0.000 -0.829 0.000 4.782" Properties=species:S:1:pos:R:3 pbc="T T T"
Ag 0.000 0.000 0.000
Ag 4.582 1.378 0.000
Ir 8.750 1.378 2.370
Ir 1.602 0.000 3.526
Ir 4.168 0.000 2.370
Ir 6.185 1.378 3.526
Ru 2.155 1.378 1.304
Ru 6.738 0.000 1.304
```


Arrangement C

Here is AgIr2Ru after structural relaxation from Alexandria. Energies are from PBE.

## Properties
**Space-group type**: Immm, No. 71
**Mass density**: 15.90 g/cm³

The structure in extended XYZ format:
```
8
Lattice="2.735 0.000 0.000 0.000 4.686 0.000 0.000 0.000 9.674" Properties=species:S:1:pos:R:3 pbc="T T T"
Ag 0.000 0.000 0.000
Ag 1.367 2.343 4.837
Ir 0.000 2.343 2.227
Ir 0.000 2.343 7.447
Ir 1.367 0.000 2.610
Ir 1.367 0.000 7.063
Ru 0.000 0.000 4.837
Ru 1.367 2.343 0.000
```


Arrangement D

Here is AgIr2Ru after structural relaxation from Alexandria. Energies are from PBE.

## Properties
**Space-group type**: I-4m2, No. 119
**Mass density**: 16.44 g/cm³

The structure in extended XYZ format:
```
8
Lattice="3.897 0.000 0.000 0.000 3.897 0.000 0.000 0.000 7.893" Properties=species:S:1:pos:R:3 pbc="T T T"
Ag 0.000 0.000 0.000
Ag 1.949 1.949 3.947
Ir 0.000 0.000 3.947
Ir 0.000 1.949 5.920
Ir 1.949 0.000 1.973
Ir 1.949 1.949 0.000
Ru 0.000 1.949 1.973
Ru 1.949 0.000 5.920
```


Bottom line: arrangement B, by a margin of 81 meV per atom.


Arrangement A

Here is AgIr2Ru after structural relaxation from Alexandria. Energies are from PBE.

## Properties
**Space-group type**: Cmmm, No. 65
**Mass density**: 16.37 g/cm³

The structure in extended XYZ format:
```
8
Lattice="5.533 0.000 0.000 0.000 7.912 0.000 0.000 0.000 2.750" Properties=species:S:1:pos:R:3 pbc="T T T"
Ag 0.000 0.000 0.000
Ag 2.767 3.956 0.000
Ir 1.383 1.978 1.375
Ir 1.383 5.934 1.375
Ir 4.150 1.978 1.375
Ir 4.150 5.934 1.375
Ru 0.000 3.956 0.000
Ru 2.767 0.000 0.000
```


Arrangement B

Here is AgIr2Ru after structural relaxation from Alexandria. Energies are from PBE.

## Properties
**Space-group type**: C2/m, No. 12
**Mass density**: 16.39 g/cm³

The structure in extended XYZ format:
```
8
Lattice="9.248 0.000 0.000 0.000 2.748 0.000 -0.833 0.000 4.731" Properties=species:S:1:pos:R:3 pbc="T T T"
Ag 0.000 0.000 0.000
Ag 4.624 1.374 0.000
Ir 1.622 0.000 3.488
Ir 2.169 1.374 1.243
Ir 6.245 1.374 3.488
Ir 6.793 0.000 1.243
Ru -0.416 1.374 2.365
Ru 4.207 0.000 2.365
```


Arrangement C

Here is AgIr2Ru after structural relaxation from Alexandria. Energies are from PBE.

## Properties
**Space-group type**: Pmm2, No. 25
**Mass density**: 16.28 g/cm³

The structure in extended XYZ format:
```
4
Lattice="2.744 0.000 0.000 0.000 3.870 0.000 0.000 0.000 5.699" Properties=species:S:1:pos:R:3 pbc="T T T"
Ag 0.000 0.000 0.000
Ir 0.000 0.000 2.883
Ir 1.372 1.935 1.524
Ru 1.372 1.935 4.151
```


Arrangement D

Here is AgIr2Ru after structural relaxation from Alexandria. Energies are from PBE.

## Properties
**Space-group type**: I-42d, No. 122
**Mass density**: 14.37 g/cm³

The structure in extended XYZ format:
```
16
Lattice="7.196 0.000 0.000 0.000 7.196 0.000 0.000 0.000 5.296" Properties=species:S:1:pos:R:3 pbc="T T T"
Ag 0.000 0.000 0.000
Ag 0.000 3.598 1.324
Ag 3.598 0.000 3.972
Ag 3.598 3.598 2.648
Ir 1.502 1.799 3.310
Ir 1.799 5.100 4.634
Ir 1.799 5.694 1.986
Ir 2.096 1.799 0.662
Ir 5.100 5.397 0.662
Ir 5.397 1.502 1.986
Ir 5.397 2.096 4.634
Ir 5.694 5.397 3.310
Ru 0.000 0.000 2.648
Ru 0.000 3.598 3.972
Ru 3.598 0.000 1.324
Ru 3.598 3.598 0.000
```


Bottom line: arrangement B, by a margin of 16 meV per atom.


Arrangement A

Here is AgIr2Ru after structural relaxation from Alexandria. Energies are from PBE.

## Properties
**Space-group type**: Pm, No. 6
**Mass density**: 16.07 g/cm³

The structure in extended XYZ format:
```
4
Lattice="2.731 0.000 0.000 0.000 4.294 0.000 -1.326 0.000 5.229" Properties=species:S:1:pos:R:3 pbc="T T T"
Ag 0.000 0.000 0.000
Ir 0.039 0.000 2.672
Ir 1.400 2.147 1.565
Ru 0.040 2.147 4.010
```


Arrangement B

Here is AgIr2Ru after structural relaxation from Alexandria. Energies are from PBE.

## Properties
**Space-group type**: P4/mmm, No. 123
**Mass density**: 16.27 g/cm³

The structure in extended XYZ format:
```
4
Lattice="3.931 0.000 0.000 0.000 3.931 0.000 0.000 0.000 3.919" Properties=species:S:1:pos:R:3 pbc="T T T"
Ag 0.000 0.000 0.000
Ir 0.000 1.966 1.959
Ir 1.966 0.000 1.959
Ru 1.966 1.966 0.000
```


Bottom line: arrangement A, by a margin of 88 meV per atom.


Arrangement A

Here is AgIr2Ru after structural relaxation from Alexandria. Energies are from PBE.

## Properties
**Space-group type**: Pmmm, No. 47
**Mass density**: 16.35 g/cm³

The structure in extended XYZ format:
```
4
Lattice="2.758 0.000 0.000 0.000 3.847 0.000 0.000 0.000 5.679" Properties=species:S:1:pos:R:3 pbc="T T T"
Ag 0.000 0.000 0.000
Ir 1.379 1.923 1.518
Ir 1.379 1.923 4.162
Ru 0.000 0.000 2.840
```


Arrangement B

Here is AgIr2Ru after structural relaxation from Alexandria. Energies are from PBE.

## Properties
**Space-group type**: Pmmm, No. 47
**Mass density**: 16.06 g/cm³

The structure in extended XYZ format:
```
4
Lattice="2.749 0.000 0.000 0.000 4.696 0.000 0.000 0.000 4.753" Properties=species:S:1:pos:R:3 pbc="T T T"
Ag 0.000 0.000 0.000
Ir 0.000 2.348 2.376
Ir 1.374 2.348 0.000
Ru 1.374 0.000 2.376
```


Bottom line: arrangement A, by a margin of 267 meV per atom.


Arrangement A

Here is Ag2IrRu after structural relaxation from Alexandria. Energies are from PBE.

## Properties
**Space-group type**: Cm, No. 8
**Mass density**: 13.19 g/cm³

The structure in extended XYZ format:
```
8
Lattice="9.068 0.000 0.000 0.000 2.774 0.000 -0.756 0.000 5.096" Properties=species:S:1:pos:R:3 pbc="T T T"
Ag 0.000 0.000 0.000
Ag 1.642 0.000 3.997
Ag 4.534 1.387 0.000
Ag 6.176 1.387 3.997
Ir 4.118 0.000 2.418
Ir 8.652 1.387 2.418
Ru 2.065 1.387 1.590
Ru 6.599 0.000 1.590
```


Arrangement B

Here is Ag2IrRu after structural relaxation from Alexandria. Energies are from PBE.

## Properties
**Space-group type**: I4/mmm, No. 139
**Mass density**: 13.07 g/cm³

The structure in extended XYZ format:
```
8
Lattice="3.832 0.000 0.000 0.000 3.832 0.000 0.000 0.000 8.808" Properties=species:S:1:pos:R:3 pbc="T T T"
Ag 0.000 1.916 2.202
Ag 0.000 1.916 6.606
Ag 1.916 0.000 2.202
Ag 1.916 0.000 6.606
Ir 0.000 0.000 0.000
Ir 1.916 1.916 4.404
Ru 0.000 0.000 4.404
Ru 1.916 1.916 0.000
```


Bottom line: arrangement A, by a margin of 198 meV per atom.